5
Lattice="4.500 0.000 0.000 0.000 4.500 0.000 0.000 0.000 3.706" Properties=species:S:1:pos:R:3 comment="OsWOF2, relaxed, DFT GGA+U" dos_at_fermi_per_ev_atom=0.63 magmom_total_mub_per_fu=4.14 e_tot_ha_per_atom=-0.1986 pbc="T T T"
Os 0.000 0.000 0.000
W 2.250 2.250 1.853
O 0.000 0.000 1.853
F 0.000 2.250 0.000
F 2.250 0.000 0.000